A plane-wave DFT calculation with PBE was carried out for a geometry-optimized MgTePtPbO structure.

Cell and atoms, written as extended XYZ:
```
5
Lattice="3.8788 -0.0351 0.0549 1.1281 5.2605 0.1792 1.5906 1.3876 5.3102" Properties=species:S:1:pos:R:3 pbc="T T T"
Pt 3.6538 1.6458 0.7862
Te 2.6839 5.7947 2.3846
O 4.3559 4.8830 5.2760
Pb 3.3296 2.9838 3.8898
Mg 4.7130 4.1509 0.2709
```

Summary:
For the uncorrected formation energy, the calculation gives -0.7175 eV per atom. The calculation puts the volume at 107.2 Å³/f.u. The energy relative to the lowest polymorph listed for this composition comes out at 0.77 eV per formula unit. The total magnetization comes out at 0.00 Bohr magnetons per cell.